(1)
Tb2Pm3YS6: optimized geometry, PBE.

Summary:
- total DFT energy (no corrections) (eV per atom) = -6.59
- D(E_F) (states/eV/atom) = 0.44
- calculated volume (A^3/atom) = 22.3
- formation energy without anion corrections (eV per atom) = -2.03

Lattice parameters (Å, degrees): 6.879 6.879 6.919 99.51 99.51 120.17
Atoms (fractional coordinates):
Tb 0.333 0.667 0.000
Tb 0.667 0.333 0.000
Pm 0.167 0.833 0.500
Pm 0.833 0.167 0.500
Pm 0.500 0.500 0.500
Y 0.000 0.000 0.000
S 0.920 0.588 0.760
S 0.747 0.747 0.240
S 0.080 0.412 0.240
S 0.588 0.920 0.760
S 0.253 0.253 0.760
S 0.412 0.080 0.240


(2)
Ba3TiGa2O8: optimized geometry, PBE.

Summary:
- total DFT energy (no corrections) (eV per atom) = -6.76
- D(E_F) (states/eV/atom) = 0.00
- calculated volume (A^3/atom) = 15.4
- formation energy without anion corrections (eV per atom) = -2.52

Lattice parameters (Å, degrees): 5.766 5.766 7.481 90.00 90.00 120.00
Atoms (fractional coordinates):
Ba 0.333 0.667 0.663
Ba 0.667 0.333 0.337
Ba 0.000 0.000 0.000
Ti 0.000 0.000 0.500
Ga 0.333 0.667 0.231
Ga 0.667 0.333 0.769
O 0.333 0.667 0.993
O 0.667 0.333 0.007
O 0.161 0.839 0.341
O 0.839 0.161 0.659
O 0.161 0.322 0.341
O 0.839 0.678 0.659
O 0.678 0.839 0.341
O 0.322 0.161 0.659


(3)
PrMg2Zn2Ga2: optimized geometry, PBE.

Summary:
- energy relative to the elements (eV per atom) = -0.358
- total DFT energy (no corrections) (eV per atom) = -2.73
- D(E_F) (states/eV/atom) = 0.25
- calculated volume (A^3/atom) = 20.5

Lattice parameters (Å, degrees): 4.437 4.437 8.793 75.39 75.39 60.00
Atoms (fractional coordinates):
Pr 0.000 0.000 0.000
Mg 0.135 0.135 0.594
Mg 0.865 0.865 0.406
Zn 0.589 0.589 0.234
Zn 0.411 0.411 0.766
Ga 0.746 0.746 0.761
Ga 0.254 0.254 0.239